Entry a
DFT (PBE) results for Y3SnRh after structural relaxation.

Output
As for the space group: Pm-3m, No. 221.

abc: 5.307 5.307 5.307
angles: 90.00 90.00 90.00
Sites, in units of the cell vectors:
Y 0.000 0.500 0.000
Y 0.000 0.000 0.500
Y 0.500 0.000 0.000
Rh 0.000 0.000 0.000
Sn 0.500 0.500 0.500

=====

Entry b
DFT (PBE) results for Y3SnRh after structural relaxation.

Output
As for the space group: Cmce, No. 64.

abc: 7.612 8.577 8.577
angles: 79.42 90.01 90.01
Sites, in units of the cell vectors:
Y 0.593 0.808 0.972
Y 0.907 0.028 0.192
Y 0.407 0.192 0.028
Y 0.093 0.972 0.808
Y 0.796 0.430 0.069
Y 0.704 0.931 0.570
Y 0.204 0.570 0.931
Y 0.296 0.069 0.430
Y 0.593 0.528 0.692
Y 0.907 0.308 0.472
Y 0.407 0.472 0.308
Y 0.093 0.692 0.528
Sn 0.250 0.830 0.170
Sn 0.750 0.170 0.830
Sn 0.250 0.330 0.670
Sn 0.750 0.670 0.330
Rh 0.878 0.696 0.805
Rh 0.622 0.195 0.304
Rh 0.122 0.304 0.195
Rh 0.378 0.805 0.696

=====

Which of them is most stable? Easy: entry b.

=====

Entry a
DFT (PBE) results for ZnSnRh3 after structural relaxation.

Output
As for the space group: Pm-3m, No. 221.

abc: 4.534 4.534 4.534
angles: 90.00 90.00 90.00
Last column: magnetic moment on the atom in μB.
Sites, in units of the cell vectors:
Zn 0.000 0.000 0.000  -0.01
Rh 0.000 0.500 0.000  0.41
Rh 0.000 0.000 0.500  0.44
Rh 0.500 0.000 0.000  0.24
Sn 0.500 0.500 0.500  -0.03

=====

Entry b
DFT (PBE) results for ZnSnRh3 after structural relaxation.

Output
As for the space group: Pm-3m, No. 221.

abc: 4.834 4.834 4.834
angles: 90.00 90.00 90.00
Last column: magnetic moment on the atom in μB.
Sites, in units of the cell vectors:
Zn 0.500 0.500 0.500  -0.01
Rh 0.000 0.500 0.000  0.33
Rh 0.000 0.000 0.500  0.43
Rh 0.500 0.000 0.000  0.21
Sn 0.000 0.000 0.000  -0.03

=====

Entry c
DFT (PBE) results for ZnSnRh3 after structural relaxation.

Output
As for the space group: Cmcm, No. 63.

abc: 4.655 6.424 6.424
angles: 119.91 90.00 90.00
Sites, in units of the cell vectors:
Zn 0.000 0.000 0.000
Zn 0.500 0.000 0.000
Sn 0.250 0.334 0.666
Sn 0.750 0.666 0.334
Rh 0.250 0.804 0.196
Rh 0.750 0.196 0.804
Rh 0.250 0.804 0.609
Rh 0.750 0.196 0.391
Rh 0.250 0.391 0.196
Rh 0.750 0.609 0.804

=====

Which of them is most stable? Easy: entry c.

=====

Entry a
DFT (PBE) results for ZnSn2Rh2 after structural relaxation.

Output
As for the space group: I4/mmm, No. 139.

abc: 4.151 4.151 6.593
angles: 71.65 71.65 90.00
Sites, in units of the cell vectors:
Zn 0.000 0.000 0.000
Rh 0.391 0.391 0.217
Rh 0.609 0.609 0.783
Sn 0.750 0.250 0.500
Sn 0.250 0.750 0.500

=====

Entry b
DFT (PBE) results for ZnSn2Rh2 after structural relaxation.

Output
As for the space group: P4/mbm, No. 127.

abc: 7.074 7.074 3.580
angles: 90.00 90.00 90.00
Sites, in units of the cell vectors:
Zn 0.000 0.000 0.000
Zn 0.500 0.500 0.000
Rh 0.352 0.852 0.000
Rh 0.852 0.648 0.000
Rh 0.648 0.148 0.000
Rh 0.148 0.352 0.000
Sn 0.153 0.653 0.500
Sn 0.653 0.847 0.500
Sn 0.847 0.347 0.500
Sn 0.347 0.153 0.500

=====

Entry c
DFT (PBE) results for ZnSn2Rh2 after structural relaxation.

Output
As for the space group: P4/mbm, No. 127.

abc: 7.796 7.796 3.016
angles: 90.00 90.00 90.00
Sites, in units of the cell vectors:
Zn 0.000 0.000 0.000
Zn 0.500 0.500 0.000
Rh 0.140 0.640 0.500
Rh 0.640 0.860 0.500
Rh 0.860 0.360 0.500
Rh 0.360 0.140 0.500
Sn 0.345 0.845 0.000
Sn 0.845 0.655 0.000
Sn 0.655 0.155 0.000
Sn 0.155 0.345 0.000

=====

Which of them is most stable? Easy: entry b.

=====

Entry a
DFT (PBE) results for ZrSn3Rh after structural relaxation.

Output
As for the space group: Pm-3m, No. 221.

abc: 5.456 5.456 5.456
angles: 90.00 90.00 90.00
Last column: magnetic moment on the atom in μB.
Sites, in units of the cell vectors:
Rh 0.500 0.500 0.500  1.14
Sn 0.000 0.500 0.000  0.04
Sn 0.000 0.000 0.500  0.06
Sn 0.500 0.000 0.000  0.01
Zr 0.000 0.000 0.000  0.17

=====

Entry b
DFT (PBE) results for ZrSn3Rh after structural relaxation.

Output
As for the space group: Pm-3m, No. 221.

abc: 5.081 5.081 5.081
angles: 90.00 90.00 90.00
Last column: magnetic moment on the atom in μB.
Sites, in units of the cell vectors:
Rh 0.000 0.000 0.000  0.06
Sn 0.000 0.500 0.000  0.01
Sn 0.000 0.000 0.500  0.00
Sn 0.500 0.000 0.000  0.02
Zr 0.500 0.500 0.500  0.59

=====

Which of them is most stable? Easy: entry b.

=====

Entry a
DFT (PBE) results for Sr4Rh after structural relaxation.

Output
As for the space group: Pm-3m, No. 221.

abc: 5.991 5.991 5.991
angles: 90.00 90.00 90.00
Sites, in units of the cell vectors:
Sr 0.000 0.000 0.000
Sr 0.500 0.000 0.500
Sr 0.000 0.500 0.500
Sr 0.500 0.500 0.000
Rh 0.500 0.500 0.500

=====

Entry b
DFT (PBE) results for Sr4Rh after structural relaxation.

Output
As for the space group: I4/m, No. 87.

abc: 7.535 7.535 7.535
angles: 93.78 93.78 150.25
Sites, in units of the cell vectors:
Rh 0.000 0.000 0.000
Sr 0.740 0.442 0.181
Sr 0.442 0.260 0.702
Sr 0.260 0.558 0.819
Sr 0.558 0.740 0.298

=====

Which of them is most stable? Easy: entry a.

=====

Entry a
DFT (PBE) results for Sr4Rh after structural relaxation.

Output
As for the space group: Cmce, No. 64.

abc: 7.025 8.505 8.533
angles: 60.13 90.00 90.00
Sites, in units of the cell vectors:
Sr 0.750 0.829 0.842
Sr 0.770 0.338 0.326
Sr 0.250 0.171 0.158
Sr 0.250 0.671 0.158
Sr 0.230 0.662 0.674
Sr 0.270 0.162 0.674
Sr 0.750 0.329 0.842
Sr 0.730 0.838 0.326
Rh 0.000 0.500 0.000
Rh 0.500 0.000 0.000

=====

Entry b
DFT (PBE) results for Sr4Rh after structural relaxation.

Output
As for the space group: Fd-3m, No. 227.

abc: 8.735 8.735 8.735
angles: 60.00 60.00 60.00
Sites, in units of the cell vectors:
Sr 0.878 0.878 0.878
Sr 0.365 0.878 0.878
Sr 0.878 0.878 0.365
Sr 0.885 0.372 0.372
Sr 0.372 0.372 0.372
Sr 0.878 0.365 0.878
Sr 0.372 0.372 0.885
Sr 0.372 0.885 0.372
Rh 0.500 0.500 0.500
Rh 0.750 0.750 0.750

=====

Which of them is most stable? Easy: entry a.